# 1
Ba2YF8 PBE-GGA relaxed; E_form (uncorrected) = -3.562 eV/atom; density of states at the Fermi level = 13.3 states/eV per cell; magnetization = 1.1 μB/cell; symmetry = No. 12; DFT total energy = -5.860 eV/atom
1.0
4.185 0.000 -0.938
-0.300 5.693 -1.339
-0.439 -1.282 7.848
Ba Y F
2 1 8
Direct
0.168 0.656 0.335 Ba
0.832 0.344 0.665 Ba
0.500 0.000 0.000 Y
0.594 0.793 0.189 F
0.361 0.670 0.722 F
0.220 0.157 0.440 F
0.011 0.216 0.022 F
0.780 0.843 0.560 F
0.639 0.330 0.278 F
0.406 0.207 0.811 F
0.989 0.784 0.978 F

# 2
Ba3Y2F12 PBE-GGA relaxed; E_form (uncorrected) = -3.996 eV/atom; density of states at the Fermi level = 0.0 states/eV per cell; energy relative to the lowest polymorph listed for this composition = 0 meV/atom; magnetization = 0.3 μB/cell; symmetry = No. 127; DFT total energy = -6.417 eV/atom
1.0
9.811 0.000 0.000
0.000 9.811 0.000
0.000 0.000 5.815
Ba Y F
6 4 24
Direct
0.000 0.000 0.000 Ba
0.678 0.178 0.500 Ba
0.178 0.322 0.500 Ba
0.500 0.500 0.000 Ba
0.822 0.678 0.500 Ba
0.322 0.822 0.500 Ba
0.366 0.134 0.000 Y
0.866 0.366 0.000 Y
0.134 0.634 0.000 Y
0.634 0.866 0.000 Y
0.500 0.000 0.232 F
0.500 0.000 0.768 F
0.220 0.059 0.260 F
0.220 0.059 0.740 F
0.701 0.201 0.000 F
0.941 0.220 0.260 F
0.941 0.220 0.740 F
0.441 0.280 0.260 F
0.441 0.280 0.740 F
0.201 0.299 0.000 F
0.720 0.441 0.260 F
0.720 0.441 0.740 F
0.000 0.500 0.232 F
0.000 0.500 0.768 F
0.280 0.559 0.260 F
0.280 0.559 0.740 F
0.799 0.701 0.000 F
0.559 0.720 0.260 F
0.559 0.720 0.740 F
0.059 0.780 0.260 F
0.059 0.780 0.740 F
0.299 0.799 0.000 F
0.780 0.941 0.260 F
0.780 0.941 0.740 F

# 3
BaYF3 PBE-GGA relaxed; E_form (uncorrected) = -2.808 eV/atom; density of states at the Fermi level = 4.5 states/eV per cell; energy relative to the lowest polymorph listed for this composition = 0 meV/atom; magnetization = 1.5 μB/cell; symmetry = No. 221; DFT total energy = -5.608 eV/atom
1.0
-0.926 3.772 2.631
-3.595 -2.267 1.986
2.868 -1.625 3.338
Y Ba F
1 1 3
Direct
0.000 0.000 0.000 Y
0.500 0.500 0.500 Ba
0.000 0.500 0.000 F
0.000 0.000 0.500 F
0.500 0.000 0.000 F

# 4
BaYF5 PBE-GGA relaxed; E_form (uncorrected) = -3.983 eV/atom; density of states at the Fermi level = 0.0 states/eV per cell; energy relative to the lowest polymorph listed for this composition = 58 meV/atom; magnetization = 0.4 μB/cell; symmetry = No. 19; DFT total energy = -6.518 eV/atom
1.0
-2.314 0.013 -4.905
4.188 -3.205 -1.984
-7.988 -12.753 3.735
Ba Y F
4 4 20
Direct
0.506 0.453 0.104 Ba
0.494 0.953 0.396 Ba
0.994 0.547 0.604 Ba
0.006 0.047 0.896 Ba
0.020 0.954 0.173 Y
0.980 0.454 0.327 Y
0.480 0.046 0.673 Y
0.520 0.546 0.827 Y
0.977 0.611 0.109 F
0.875 0.122 0.056 F
0.372 0.945 0.103 F
0.759 0.227 0.232 F
0.242 0.246 0.239 F
0.758 0.746 0.261 F
0.241 0.727 0.268 F
0.628 0.445 0.397 F
0.125 0.622 0.444 F
0.023 0.111 0.391 F
0.523 0.389 0.609 F
0.625 0.878 0.556 F
0.128 0.055 0.603 F
0.741 0.773 0.732 F
0.258 0.754 0.739 F
0.742 0.254 0.761 F
0.259 0.273 0.768 F
0.872 0.555 0.897 F
0.375 0.378 0.944 F
0.477 0.889 0.891 F